Record 1
## La3Al2InPd9 (PBE-GGA)

Data for an optimized crystal structure of La3Al2InPd9.

a b c (Å): 5.801 5.801 11.649
angles (deg): 90.00 90.00 120.00
Element x y z (fractional)
La1 0.000 0.000 0.000
La2 0.333 0.667 0.732
La3 0.667 0.333 0.268
Al1 0.333 0.667 0.160
Al2 0.667 0.333 0.840
In1 0.000 0.000 0.500
Pd1 0.000 0.500 0.000
Pd2 0.163 0.326 0.311
Pd3 0.163 0.837 0.311
Pd4 0.326 0.163 0.689
Pd5 0.500 0.000 0.000
Pd6 0.500 0.500 0.000
Pd7 0.674 0.837 0.311
Pd8 0.837 0.163 0.689
Pd9 0.837 0.674 0.689

Properties
**ΔH_f (0 K)**: -0.666 eV per atom

---

Record 2
## ZnGaSb (PBE-GGA)

Data for an optimized crystal structure of ZnGaSb.

a b c (Å): 4.633 4.633 4.633
angles (deg): 60.00 60.00 60.00
Element x y z (fractional)
Zn1 0.000 0.000 0.000
Ga1 0.750 0.750 0.750
Sb1 0.250 0.250 0.250

Properties
**Uncorrected formation energy**: 0.02 eV per atom

---

Record 3
## BaMnTc (PBE-GGA)

Data for an optimized crystal structure of BaMnTc.

a b c (Å): 6.614 6.614 6.614
angles (deg): 151.10 151.10 41.33
Element x y z (fractional)
Ba1 0.000 0.000 0.000
Mn1 0.719 0.719 0.000
Tc1 0.281 0.281 0.000

Properties
**Energy above the lowest structure with this stoichiometry**: 0.026 eV per atom
**ΔH_f (0 K)**: 0.680 eV per atom

---

Record 4
## Mn4TeBr (PBE-GGA)

Data for an optimized crystal structure of Mn4TeBr.

a b c (Å): 5.556 5.556 5.556
angles (deg): 60.00 60.00 60.00
Element x y z (fractional)
Mn1 0.376 0.376 0.376
Mn2 0.376 0.376 0.873
Mn3 0.376 0.873 0.376
Mn4 0.873 0.376 0.376
Te1 0.750 0.750 0.750
Br1 0.000 0.000 0.000

Properties
**Uncorrected formation energy**: 0.57 eV per atom